1.
This record from Alexandria via LeMat-Bulk describes CoN2F4 after structural relaxation. The functional is PBE with a Hubbard U.

**Total magnetization**: 0.429 μB per atom
**Space group**: P-1
**Calculated volume**: 97 Å³ per cell
**Raw total energy**: -0.36858 Ry/atom

The structure in POSCAR format:
```
CoN2F4
1.0
3.2567 0.0000 0.0000
-1.6239 2.8683 0.0000
-0.3261 -1.1462 10.3678
Co N F
1 2 4
Direct
0.0000 0.0000 0.0000 Co
0.4427 0.8767 0.5449 N
0.5573 0.1233 0.4551 N
0.3067 0.6312 0.9125 F
0.3853 0.8045 0.3422 F
0.6147 0.1955 0.6578 F
0.6933 0.3688 0.0875 F
```

***

2.
This record from Alexandria via LeMat-Bulk describes CoN2F2 after structural relaxation. The functional is PBE with a Hubbard U.

**Total magnetization**: 1.018 μB per atom
**Space group**: P4/mmm
**Calculated volume**: 57 Å³ per cell
**Offset from the most stable computed form**: 2961 meV per atom

The structure in POSCAR format:
```
CoN2F2
1.0
3.5322 0.0000 0.0000
0.0000 3.5322 0.0000
0.0000 0.0000 4.5754
Co N F
1 2 2
Direct
0.0000 0.0000 0.0000 Co
0.0000 0.5000 0.5000 N
0.5000 0.0000 0.5000 N
0.5000 0.5000 0.0000 F
0.5000 0.5000 0.5000 F
```

***

3.
This record from Alexandria via LeMat-Bulk describes CoNF2 after structural relaxation. The functional is PBE with a Hubbard U.

**Total magnetization**: 0.724 μB per atom
**Space group**: R-3m
**Calculated volume**: 156 Å³ per cell
**Offset from the most stable computed form**: 906 meV per atom

The structure in POSCAR format:
```
CoNF2
1.0
2.6033 0.0000 0.0000
-1.3016 2.2545 0.0000
0.0000 0.0000 26.5020
Co N F
3 3 6
Direct
0.0000 0.0000 0.0000 Co
0.3333 0.6667 0.6667 Co
0.6667 0.3333 0.3333 Co
0.0000 0.0000 0.5000 N
0.3333 0.6667 0.1667 N
0.6667 0.3333 0.8333 N
0.0000 0.0000 0.0643 F
0.0000 0.0000 0.9357 F
0.3333 0.6667 0.6023 F
0.3333 0.6667 0.7310 F
0.6667 0.3333 0.2690 F
0.6667 0.3333 0.3977 F
```

***

4.
This record from Alexandria via LeMat-Bulk describes CoNF3 after structural relaxation. The functional is PBE with a Hubbard U.

**Total magnetization**: 0.203 μB per atom
**Space group**: P-1
**Calculated volume**: 171 Å³ per cell
**Offset from the most stable computed form**: 0 meV per atom

The structure in POSCAR format:
```
CoNF3
1.0
5.2114 0.0000 0.0000
-1.0285 5.4378 0.0000
-2.3794 -1.3568 6.0284
Co N F
2 2 6
Direct
0.0746 0.2518 0.4542 Co
0.9254 0.7482 0.5458 Co
0.2686 0.2396 0.2810 N
0.7314 0.7604 0.7190 N
0.1400 0.5186 0.6996 F
0.1822 0.3189 0.0913 F
0.2623 0.0194 0.6240 F
0.7377 0.9806 0.3760 F
0.8178 0.6811 0.9087 F
0.8600 0.4814 0.3004 F
```

***

5.
This record from Alexandria via LeMat-Bulk describes CoNF3 after structural relaxation. The functional is PBE with a Hubbard U.

**Total magnetization**: 0.217 μB per atom
**Space group**: Pm-3m
**Calculated volume**: 55 Å³ per cell
**Offset from the most stable computed form**: 997 meV per atom

The structure in POSCAR format:
```
CoNF3
1.0
3.8088 0.0000 0.0000
0.0000 3.8088 0.0000
0.0000 0.0000 3.8088
Co N F
1 1 3
Direct
0.0000 0.0000 0.0000 Co
0.5000 0.5000 0.5000 N
0.0000 0.0000 0.5000 F
0.0000 0.5000 0.0000 F
0.5000 0.0000 0.0000 F
```

***

6.
This record from Alexandria via LeMat-Bulk describes Co2NF after structural relaxation. The functional is PBE with a Hubbard U.

**Total magnetization**: 1.500 μB per atom
**Space group**: Fm-3m
**Calculated volume**: 156 Å³ per cell
**Raw total energy**: -0.37172 Ry/atom

The structure in POSCAR format:
```
Co2NF
1.0
5.3809 0.0000 0.0000
0.0000 5.3809 0.0000
0.0000 0.0000 5.3809
Co N F
8 4 4
Direct
0.2500 0.2500 0.2500 Co
0.2500 0.2500 0.7500 Co
0.2500 0.7500 0.2500 Co
0.2500 0.7500 0.7500 Co
0.7500 0.2500 0.2500 Co
0.7500 0.2500 0.7500 Co
0.7500 0.7500 0.2500 Co
0.7500 0.7500 0.7500 Co
0.0000 0.0000 0.0000 N
0.0000 0.5000 0.5000 N
0.5000 0.0000 0.5000 N
0.5000 0.5000 0.0000 N
0.0000 0.0000 0.5000 F
0.0000 0.5000 0.0000 F
0.5000 0.0000 0.0000 F
0.5000 0.5000 0.5000 F
```

***

Please write out number 4 again, unchanged.
This record from Alexandria via LeMat-Bulk describes CoNF3 after structural relaxation. The functional is PBE with a Hubbard U.

**Total magnetization**: 0.203 μB per atom
**Space group**: P-1
**Calculated volume**: 171 Å³ per cell
**Offset from the most stable computed form**: 0 meV per atom

The structure in POSCAR format:
```
CoNF3
1.0
5.2114 0.0000 0.0000
-1.0285 5.4378 0.0000
-2.3794 -1.3568 6.0284
Co N F
2 2 6
Direct
0.0746 0.2518 0.4542 Co
0.9254 0.7482 0.5458 Co
0.2686 0.2396 0.2810 N
0.7314 0.7604 0.7190 N
0.1400 0.5186 0.6996 F
0.1822 0.3189 0.0913 F
0.2623 0.0194 0.6240 F
0.7377 0.9806 0.3760 F
0.8178 0.6811 0.9087 F
0.8600 0.4814 0.3004 F
```

***

Copy entry 2 word for word.
This record from Alexandria via LeMat-Bulk describes CoN2F2 after structural relaxation. The functional is PBE with a Hubbard U.

**Total magnetization**: 1.018 μB per atom
**Space group**: P4/mmm
**Calculated volume**: 57 Å³ per cell
**Offset from the most stable computed form**: 2961 meV per atom

The structure in POSCAR format:
```
CoN2F2
1.0
3.5322 0.0000 0.0000
0.0000 3.5322 0.0000
0.0000 0.0000 4.5754
Co N F
1 2 2
Direct
0.0000 0.0000 0.0000 Co
0.0000 0.5000 0.5000 N
0.5000 0.0000 0.5000 N
0.5000 0.5000 0.0000 F
0.5000 0.5000 0.5000 F
```